1.
## Ga3BRh (GGA-PBE)

Data for an optimized crystal structure of Ga3BRh.

a = 4.2295 Å, b = 4.2295 Å, c = 4.2295 Å
α = 90.00°, β = 90.00°, γ = 90.00°
Atoms (fractional coordinates):
Ga  0.5000  0.0000  0.0000
Rh  0.5000  0.5000  0.5000
Ga  0.0000  0.0000  0.5000
Ga  0.0000  0.5000  0.0000
B  0.0000  0.0000  0.0000

Summary:
Final energy = -4.15 eV per atom
Energy relative to the elements = 0.4674 eV/atom
Excess energy over the best structure of this formula in the dataset = 0.0 kJ/mol of atoms

2.
## GaB2Rh4 (GGA-PBE)

Data for an optimized crystal structure of GaB2Rh4.

a = 5.8098 Å, b = 5.8098 Å, c = 6.6229 Å
α = 108.39°, β = 108.39°, γ = 106.31°
Atoms (fractional coordinates):
Ga  0.2499  0.7499  0.5000
Ga  0.0000  0.9999  0.0000
Rh  0.4700  0.6863  0.8442
B  0.6250  0.3745  0.2495
Rh  0.9362  0.2200  0.3441
B  0.1250  0.3755  0.7504
B  0.6255  0.8749  0.2505
Rh  0.7800  0.0643  0.6564
Rh  0.3143  0.5300  0.1563
Rh  0.8421  0.6258  0.1558
B  0.6246  0.3751  0.7496
Rh  0.3736  0.1579  0.8437
Rh  0.4079  0.1236  0.3438
Rh  0.8758  0.5922  0.6557

Summary:
Final energy = -6.78 eV per atom
Energy relative to the elements = -0.2378 eV/atom

3.
## Ga2BRh5 (GGA-PBE)

Data for an optimized crystal structure of Ga2BRh5.

a = 2.9116 Å, b = 7.7245 Å, c = 9.6371 Å
α = 90.00°, β = 90.00°, γ = 90.00°
Atoms (fractional coordinates):
Ga  0.5000  0.8620  0.1805
Rh  0.0000  0.0927  0.2970
Rh  0.0000  0.5927  0.2030
Rh  0.5000  0.8054  0.4377
B  0.0000  0.5000  0.0000
B  0.0000  0.0000  0.5000
Rh  0.5000  0.3054  0.0623
Ga  0.5000  0.3620  0.3195
Rh  0.0000  0.9073  0.7030
Ga  0.5000  0.1380  0.8195
Rh  0.0000  0.5000  0.5000
Rh  0.0000  0.4073  0.7970
Ga  0.5000  0.6380  0.6805
Rh  0.5000  0.1946  0.5623
Rh  0.5000  0.6946  0.9377
Rh  0.0000  0.0000  0.0000

Summary:
Final energy = -6.58 eV per atom
Energy relative to the elements = -0.3893 eV/atom

4.
## Ga3BRh (GGA-PBE)

Data for an optimized crystal structure of Ga3BRh.

a = 4.7285 Å, b = 4.7285 Å, c = 4.7285 Å
α = 90.00°, β = 90.00°, γ = 90.00°
Atoms (fractional coordinates):
B  0.5000  0.5000  0.5000
Rh  0.0000  0.0000  0.0000
Ga  0.0000  0.0000  0.5000
Ga  0.5000  0.0000  0.0000
Ga  0.0000  0.5000  0.0000

Summary:
Final energy = -3.93 eV per atom
Energy relative to the elements = 0.6931 eV/atom
Excess energy over the best structure of this formula in the dataset = 21.8 kJ/mol of atoms